# 1
Nd11In9Pt4: relaxed, PBE.

abc: 15.0163 22.5417 3.8337
angles: 90.00 90.00 90.00
Space group Cmmm (No. 65)
Asymmetric unit:
Nd: 0.0000 0.0000 0.0000 [2 per cell]
Nd: 0.0000 0.1620 0.0000 [4 per cell]
Nd: 0.0000 0.3732 0.0000 [4 per cell]
Nd: 0.1901 0.5000 0.0000 [4 per cell]
Nd: 0.2437 0.1706 0.0000 [8 per cell]
In: 0.0000 0.5000 0.5000 [2 per cell]
In: 0.1032 0.2635 0.5000 [8 per cell]
In: 0.1455 0.0707 0.5000 [8 per cell]
Pt: 0.1531 0.3987 0.5000 [8 per cell]

Summary:
Crystal system ... orthorhombic
Volume ... 27.035 Å³/atom
Energy ... -0.3653 Ry/atom
Energy relative to the elements ... -0.7513 eV/atom

# 2
NdIn4Pt2: relaxed, PBE.

abc: 4.3493 17.6728 4.2692
angles: 90.00 90.00 90.00
Space group Cmmm (No. 65)
Asymmetric unit:
Nd: 0.0000 0.0000 0.0000 [2 per cell]
In: 0.0000 0.1715 0.5000 [4 per cell]
In: 0.0000 0.3211 0.0000 [4 per cell]
Pt: 0.0000 0.4255 0.5000 [4 per cell]

Summary:
Offset from the most stable computed form ... 1.27 eV/f.u.
Crystal system ... orthorhombic
Volume ... 23.439 Å³/atom
Energy ... -0.3262 Ry/atom
Energy relative to the elements ... -0.4668 eV/atom

# 3
Nd6InPt2: relaxed, PBE.

abc: 9.6534 10.1427 10.9146
angles: 90.00 90.00 90.00
Space group Immm (No. 71)
Asymmetric unit:
Nd: 0.0000 0.1986 0.2346 [8 per cell]
Nd: 0.1945 0.5000 0.1719 [8 per cell]
Nd: 0.2080 0.3176 0.5000 [8 per cell]
In: 0.0000 0.0000 0.0000 [2 per cell]
In: 0.0000 0.0000 0.5000 [2 per cell]
Pt: 0.0000 0.3437 0.0000 [4 per cell]
Pt: 0.0000 0.5000 0.3693 [4 per cell]

Summary:
Crystal system ... orthorhombic
Volume ... 29.685 Å³/atom
Energy ... -0.4018 Ry/atom
Energy relative to the elements ... -0.6410 eV/atom

# 4
Nd12InPt6: relaxed, PBE.

abc: 10.3532 10.3532 10.3532
angles: 90.00 90.00 90.00
Space group Im-3 (No. 204)
Asymmetric unit:
Nd: 0.0000 0.1803 0.3029 [24 per cell]
In: 0.0000 0.0000 0.0000 [2 per cell]
Pt: 0.0000 0.3651 0.5000 [12 per cell]

Summary:
Crystal system ... cubic
Volume ... 29.204 Å³/atom
Energy ... -0.4278 Ry/atom
Energy relative to the elements ... -0.7575 eV/atom

# 5
NdInPt4: relaxed, PBE.

abc: 7.7091 7.7091 7.7091
angles: 90.00 90.00 90.00
Space group F-43m (No. 216)
Asymmetric unit:
Nd: 0.0000 0.0000 0.0000 [4 per cell]
In: 0.2500 0.2500 0.2500 [4 per cell]
Pt: 0.1245 0.1245 0.6245 [16 per cell]

Summary:
Crystal system ... cubic
Volume ... 19.089 Å³/atom
Energy ... -0.4476 Ry/atom
Energy relative to the elements ... -0.8113 eV/atom

# 6
NdInPt2: relaxed, PBE.

abc: 4.8198 4.8198 3.6072
angles: 90.00 90.00 90.00
Space group P4/mmm (No. 123)
Asymmetric unit:
Nd: 0.0000 0.0000 0.0000 [1 per cell]
In: 0.5000 0.5000 0.0000 [1 per cell]
Pt: 0.0000 0.5000 0.5000 [2 per cell]

Summary:
Crystal system ... tetragonal
Volume ... 20.949 Å³/atom
Energy ... -0.4140 Ry/atom
Energy relative to the elements ... -0.7364 eV/atom

# 7
NdIn6Pt3: relaxed, PBE.

abc: 9.8581 4.5136 10.2292
angles: 90.00 94.83 90.00
Space group P2_1/m (No. 11)
Asymmetric unit:
Nd: 0.0965 0.2500 0.2582 [2 per cell]
In: 0.0830 0.2500 0.9205 [2 per cell]
In: 0.1247 0.7500 0.4970 [2 per cell]
In: 0.2709 0.7500 0.7854 [2 per cell]
In: 0.3367 0.7500 0.2916 [2 per cell]
In: 0.3713 0.2500 0.5604 [2 per cell]
In: 0.3939 0.2500 0.0626 [2 per cell]
Pt: 0.1219 0.2500 0.6582 [2 per cell]
Pt: 0.2001 0.7500 0.0424 [2 per cell]
Pt: 0.4886 0.2500 0.3266 [2 per cell]

Summary:
Crystal system ... monoclinic
Volume ... 22.677 Å³/atom
Energy ... -0.3291 Ry/atom
Energy relative to the elements ... -0.5454 eV/atom

# 8
Nd8In2Pt3: relaxed, PBE.

abc: 10.2988 15.2654 5.0896
angles: 90.00 90.00 90.00
Space group Cmmm (No. 65)
Asymmetric unit:
Nd: 0.0000 0.1145 0.0000 [4 per cell]
Nd: 0.0000 0.3856 0.0000 [4 per cell]
Nd: 0.2460 0.1153 0.5000 [8 per cell]
In: 0.0000 0.2543 0.5000 [4 per cell]
Pt: 0.0000 0.0000 0.5000 [2 per cell]
Pt: 0.2393 0.5000 0.0000 [4 per cell]

Summary:
Crystal system ... orthorhombic
Volume ... 30.775 Å³/atom
Energy ... -0.3897 Ry/atom
Energy relative to the elements ... -0.5526 eV/atom

# 9
Nd2InPt5Rh2: relaxed, PBE.

abc: 9.4988 9.4988 4.1930
angles: 90.00 90.00 90.00
Space group P4/mbm (No. 127)
Asymmetric unit:
Nd: 0.1705 0.3295 0.0000 [4 per cell]
In: 0.0000 0.0000 0.0000 [2 per cell]
Pt: 0.0000 0.5000 0.5000 [2 per cell]
Pt: 0.0647 0.7951 0.5000 [8 per cell]
Rh: 0.1270 0.6270 0.0000 [4 per cell]

Summary:
Crystal system ... tetragonal
Volume ... 18.916 Å³/atom
Energy ... -0.4712 Ry/atom
Energy relative to the elements ... -0.6927 eV/atom

# 10
NdScInPt: relaxed, PBE.

abc: 7.1974 7.1974 7.1974
angles: 90.00 90.00 90.00
Space group F-43m (No. 216)
Asymmetric unit:
Nd: 0.0000 0.0000 0.0000 [4 per cell]
Sc: 0.0000 0.0000 0.5000 [4 per cell]
In: 0.2500 0.2500 0.7500 [4 per cell]
Pt: 0.2500 0.2500 0.2500 [4 per cell]

Summary:
Crystal system ... cubic
Volume ... 23.302 Å³/atom
Energy ... -0.4130 Ry/atom
Energy relative to the elements ... -0.6498 eV/atom

# 11
Nd2InSi3Pt4: relaxed, PBE.

abc: 4.3178 4.3178 10.2636
angles: 90.00 90.00 90.00
Space group P-4m2 (No. 115)
Asymmetric unit:
Nd: 0.0000 0.5000 0.2442 [2 per cell]
In: 0.0000 0.0000 0.5000 [1 per cell]
Si: 0.0000 0.5000 0.8788 [2 per cell]
Si: 0.5000 0.5000 0.5000 [1 per cell]
Pt: 0.0000 0.0000 0.0000 [1 per cell]
Pt: 0.0000 0.5000 0.6480 [2 per cell]
Pt: 0.5000 0.5000 0.0000 [1 per cell]

Summary:
Formation energy (no corrections) ... -95.87 kJ/mol of atoms
Crystal system ... tetragonal
Volume ... 19.135 Å³/atom
Energy ... -0.4604 Ry/atom

# 12
Nd3InSi2Pt9: relaxed, PBE.

abc: 5.7538 5.7538 11.0784
angles: 90.00 90.00 120.00
Space group P-3m1 (No. 164)
Asymmetric unit:
Nd: 0.0000 0.0000 0.0000 [1 per cell]
Nd: 0.3333 0.6667 0.6028 [2 per cell]
In: 0.0000 0.0000 0.5000 [1 per cell]
Si: 0.3333 0.6667 0.1569 [2 per cell]
Pt: 0.0000 0.5000 0.0000 [3 per cell]
Pt: 0.1637 0.3273 0.3047 [6 per cell]

Summary:
Formation energy (no corrections) ... -74.03 kJ/mol of atoms
Crystal system ... trigonal
Volume ... 21.175 Å³/atom
Energy ... -0.4594 Ry/atom

# 13
NdIn2Si2Pt7: relaxed, PBE.

abc: 5.6839 5.7032 14.2476
angles: 90.00 98.20 90.00
Space group C2/m (No. 12)
Asymmetric unit:
Nd: 0.0000 0.0000 0.0000 [2 per cell]
In: 0.1060 0.0000 0.3965 [4 per cell]
Si: 0.0903 0.5000 0.2556 [4 per cell]
Pt: 0.0000 0.5000 0.0000 [2 per cell]
Pt: 0.1200 0.5000 0.4191 [4 per cell]
Pt: 0.1924 0.2498 0.8372 [8 per cell]

Summary:
Formation energy (no corrections) ... -62.26 kJ/mol of atoms
Crystal system ... monoclinic
Volume ... 19.047 Å³/atom
Energy ... -0.4356 Ry/atom

# 14
Nd2InSi4Pt3: relaxed, PBE.

abc: 4.2763 4.2763 10.2794
angles: 90.00 90.00 90.00
Space group P-4m2 (No. 115)
Asymmetric unit:
Nd: 0.0000 0.5000 0.2383 [2 per cell]
In: 0.0000 0.0000 0.5000 [1 per cell]
Si: 0.0000 0.0000 0.0000 [1 per cell]
Si: 0.0000 0.5000 0.6520 [2 per cell]
Si: 0.5000 0.5000 0.0000 [1 per cell]
Pt: 0.0000 0.5000 0.8853 [2 per cell]
Pt: 0.5000 0.5000 0.5000 [1 per cell]

Summary:
Formation energy (no corrections) ... -89.38 kJ/mol of atoms
Crystal system ... tetragonal
Volume ... 18.798 Å³/atom
Energy ... -0.4509 Ry/atom

# 15
NdInSi2Pt5: relaxed, PBE.

abc: 4.0881 4.0881 10.9229
angles: 90.00 90.00 90.00
Space group P4/mmm (No. 123)
Asymmetric unit:
Nd: 0.0000 0.0000 0.0000 [1 per cell]
In: 0.0000 0.0000 0.5000 [1 per cell]
Si: 0.5000 0.5000 0.2146 [2 per cell]
Pt: 0.0000 0.5000 0.3238 [4 per cell]
Pt: 0.5000 0.5000 0.0000 [1 per cell]

Summary:
Formation energy (no corrections) ... -68.24 kJ/mol of atoms
Crystal system ... tetragonal
Volume ... 20.283 Å³/atom
Energy ... -0.4485 Ry/atom

# 16
Nd2InSiPt6: relaxed, PBE.

abc: 5.6010 8.7578 8.5481
angles: 90.00 90.00 90.00
Space group Pmmn (No. 59, origin choice 2)
Asymmetric unit:
Nd: 0.2500 0.0018 0.2354 [4 per cell]
In: 0.2500 0.2500 0.7871 [2 per cell]
Si: 0.2500 0.7500 0.7289 [2 per cell]
Pt: 0.0021 0.2500 0.5068 [4 per cell]
Pt: 0.0044 0.7500 0.9535 [4 per cell]
Pt: 0.2500 0.5027 0.6012 [4 per cell]

Summary:
Formation energy (no corrections) ... -83.76 kJ/mol of atoms
Crystal system ... orthorhombic
Volume ... 20.965 Å³/atom
Energy ... -0.4603 Ry/atom

# 17
NdInSnPt3: relaxed, PBE.

abc: 5.7133 17.8313 5.7208
angles: 90.00 90.00 90.00
Space group Cmcm (No. 63)
Asymmetric unit:
Nd: 0.0000 0.2099 0.2500 [4 per cell]
In: 0.0000 0.3966 0.7500 [4 per cell]
Sn: 0.0000 0.0973 0.7500 [4 per cell]
Pt: 0.0000 0.2465 0.7500 [4 per cell]
Pt: 0.2463 0.5000 0.0000 [8 per cell]

Summary:
Crystal system ... orthorhombic
Volume ... 24.284 Å³/atom
Energy ... -0.4055 Ry/atom
Energy relative to the elements ... -0.5786 eV/atom

# 18
NdTmInPt: relaxed, PBE.

abc: 7.3329 7.3329 7.3329
angles: 90.00 90.00 90.00
Space group F-43m (No. 216)
Asymmetric unit:
Nd: 0.0000 0.0000 0.0000 [4 per cell]
Tm: 0.0000 0.0000 0.5000 [4 per cell]
In: 0.2500 0.2500 0.7500 [4 per cell]
Pt: 0.2500 0.2500 0.2500 [4 per cell]

Summary:
Crystal system ... cubic
Volume ... 24.643 Å³/atom
Energy ... -0.3823 Ry/atom
Energy relative to the elements ... -0.6972 eV/atom

# 19
NdZnInPt3: relaxed, PBE.

abc: 5.7332 17.1147 5.6353
angles: 90.00 90.00 90.00
Space group Cmcm (No. 63)
Asymmetric unit:
Nd: 0.0000 0.2081 0.2500 [4 per cell]
Zn: 0.0000 0.0982 0.7500 [4 per cell]
In: 0.0000 0.3992 0.7500 [4 per cell]
Pt: 0.0000 0.2444 0.7500 [4 per cell]
Pt: 0.2386 0.0000 0.0000 [8 per cell]

Summary:
Crystal system ... orthorhombic
Volume ... 23.039 Å³/atom
Energy ... -0.3671 Ry/atom
Energy relative to the elements ... -0.5108 eV/atom

# 20
Nd2PuIn: relaxed, PBE.

abc: 3.5754 3.5754 33.3696
angles: 90.00 90.00 120.00
Space group R-3m (No. 166, hexagonal axes)
Asymmetric unit:
Nd: 0.0000 0.0000 0.2481 [6 per cell]
Pu: 0.0000 0.0000 0.0000 [3 per cell]
In: 0.0000 0.0000 0.5000 [3 per cell]

Summary:
Offset from the most stable computed form ... 0.54 eV/f.u.
Crystal system ... trigonal
Volume ... 30.785 Å³/atom
Energy ... -0.4899 Ry/atom
Energy relative to the elements ... -0.0133 eV/atom